<a>
# La5Pr4Nd, optimized geometry, DFT PBE
# Crystal system ... monoclinic
# Space group ... No. 12
# N(E_F) ... 19.1 states/eV per cell
data_La5Pr4Nd
_chemical_formula_sum 'La5 Pr4 Nd1'
_cell_length_a 3.570
_cell_length_b 7.058
_cell_length_c 14.723
_cell_angle_alpha 97.11
_cell_angle_beta 96.96
_cell_angle_gamma 90.00
_space_group_name_H-M_alt 'P 1'
_space_group_IT_number 1
_space_group_name_Hall 'P 1'
loop_
_atom_site_label
_atom_site_type_symbol
_atom_site_fract_x
_atom_site_fract_y
_atom_site_fract_z
La1 La 0.201 0.594 0.403
La2 La 0.205 0.106 0.411
La3 La 0.795 0.894 0.589
La4 La 0.500 0.500 0.000
La5 La 0.799 0.406 0.597
Pr1 Pr 0.607 0.808 0.214
Pr2 Pr 0.906 0.703 0.811
Pr3 Pr 0.393 0.192 0.786
Pr4 Pr 0.094 0.297 0.189
Nd1 Nd 0.500 0.000 0.000

***

<b>
# La5Pr4Nd, optimized geometry, DFT PBE
# Crystal system ... orthorhombic
# Space group ... No. 59
# N(E_F) ... 33.1 states/eV per cell
data_La5Pr4Nd
_chemical_formula_sum 'La10 Pr8 Nd2'
_cell_length_a 8.922
_cell_length_b 7.113
_cell_length_c 11.815
_cell_angle_alpha 90.00
_cell_angle_beta 90.00
_cell_angle_gamma 90.00
_space_group_name_H-M_alt 'P 1'
_space_group_IT_number 1
_space_group_name_Hall 'P 1'
loop_
_atom_site_label
_atom_site_type_symbol
_atom_site_fract_x
_atom_site_fract_y
_atom_site_fract_z
La1 La 0.329 0.722 0.784
La2 La 0.329 0.278 0.784
La3 La 0.041 0.500 0.000
La4 La 0.329 0.722 0.216
La5 La 0.329 0.278 0.216
La6 La 0.671 0.778 0.284
La7 La 0.671 0.222 0.284
La8 La 0.959 0.000 0.500
La9 La 0.671 0.222 0.716
La10 La 0.671 0.778 0.716
Pr1 Pr 0.984 0.000 0.825
Pr2 Pr 0.637 0.749 0.000
Pr3 Pr 0.637 0.251 0.000
Pr4 Pr 0.984 0.000 0.175
Pr5 Pr 0.016 0.500 0.325
Pr6 Pr 0.363 0.751 0.500
Pr7 Pr 0.363 0.249 0.500
Pr8 Pr 0.016 0.500 0.675
Nd1 Nd 0.274 0.000 0.000
Nd2 Nd 0.726 0.500 0.500

***

Quick ranking, most stable first: <a>, <b>.

***

<a>
# La4PrNd6, optimized geometry, DFT PBE
# Crystal system ... hexagonal
# Space group ... No. 187
# N(E_F) ... 16.5 states/eV per cell
data_La4PrNd6
_chemical_formula_sum 'La4 Pr1 Nd6'
_cell_length_a 3.674
_cell_length_b 11.229
_cell_length_c 11.229
_cell_angle_alpha 120.00
_cell_angle_beta 90.00
_cell_angle_gamma 90.00
_space_group_name_H-M_alt 'P 1'
_space_group_IT_number 1
_space_group_name_Hall 'P 1'
loop_
_atom_site_label
_atom_site_type_symbol
_atom_site_fract_x
_atom_site_fract_y
_atom_site_fract_z
La1 La 0.500 0.842 0.684
La2 La 0.500 0.316 0.158
La3 La 0.500 0.842 0.158
La4 La 0.000 0.333 0.667
Pr1 Pr 0.000 0.000 0.000
Nd1 Nd 0.000 0.532 0.064
Nd2 Nd 0.500 0.629 0.815
Nd3 Nd 0.000 0.532 0.468
Nd4 Nd 0.000 0.936 0.468
Nd5 Nd 0.500 0.185 0.815
Nd6 Nd 0.500 0.185 0.371

***

<b>
# La4PrNd6, optimized geometry, DFT PBE
# Crystal system ... tetragonal
# Space group ... No. 121
# N(E_F) ... 17.2 states/eV per cell
data_La4PrNd6
_chemical_formula_sum 'La4 Pr1 Nd6'
_cell_length_a 9.729
_cell_length_b 9.729
_cell_length_c 9.729
_cell_angle_alpha 60.92
_cell_angle_beta 137.99
_cell_angle_gamma 137.99
_space_group_name_H-M_alt 'P 1'
_space_group_IT_number 1
_space_group_name_Hall 'P 1'
loop_
_atom_site_label
_atom_site_type_symbol
_atom_site_fract_x
_atom_site_fract_y
_atom_site_fract_z
La1 La 0.000 0.632 0.007
La2 La 0.375 0.368 0.368
La3 La 0.000 0.007 0.632
La4 La 0.625 0.993 0.993
Pr1 Pr 0.000 0.000 0.000
Nd1 Nd 0.000 0.782 0.448
Nd2 Nd 0.000 0.448 0.782
Nd3 Nd 0.334 0.552 0.552
Nd4 Nd 0.500 0.500 0.000
Nd5 Nd 0.666 0.218 0.218
Nd6 Nd 0.500 0.000 0.500

***

Quick ranking, most stable first: <a>, <b>.

***

<a>
# La2Pr7Nd3, optimized geometry, DFT PBE
# Crystal system ... monoclinic
# Space group ... No. 10
# N(E_F) ... 17.6 states/eV per cell
data_La2Pr7Nd3
_chemical_formula_sum 'La2 Pr7 Nd3'
_cell_length_a 3.682
_cell_length_b 6.095
_cell_length_c 19.570
_cell_angle_alpha 93.06
_cell_angle_beta 90.00
_cell_angle_gamma 90.00
_space_group_name_H-M_alt 'P 1'
_space_group_IT_number 1
_space_group_name_Hall 'P 1'
loop_
_atom_site_label
_atom_site_type_symbol
_atom_site_fract_x
_atom_site_fract_y
_atom_site_fract_z
La1 La 0.500 0.704 0.296
La2 La 0.500 0.296 0.704
Pr1 Pr 0.500 0.743 0.464
Pr2 Pr 0.500 0.257 0.536
Pr3 Pr 0.000 0.681 0.144
Pr4 Pr 0.000 0.000 0.000
Pr5 Pr 0.000 0.319 0.856
Pr6 Pr 0.500 0.817 0.824
Pr7 Pr 0.500 0.183 0.176
Nd1 Nd 0.500 0.500 0.000
Nd2 Nd 0.000 0.215 0.368
Nd3 Nd 0.000 0.785 0.632

***

<b>
# La2Pr7Nd3, optimized geometry, DFT PBE
# Crystal system ... monoclinic
# Space group ... No. 10
# N(E_F) ... 20.1 states/eV per cell
data_La2Pr7Nd3
_chemical_formula_sum 'La2 Pr7 Nd3'
_cell_length_a 3.645
_cell_length_b 6.612
_cell_length_c 18.677
_cell_angle_alpha 75.59
_cell_angle_beta 90.00
_cell_angle_gamma 90.00
_space_group_name_H-M_alt 'P 1'
_space_group_IT_number 1
_space_group_name_Hall 'P 1'
loop_
_atom_site_label
_atom_site_type_symbol
_atom_site_fract_x
_atom_site_fract_y
_atom_site_fract_z
La1 La 0.500 0.612 0.331
La2 La 0.500 0.388 0.669
Pr1 Pr 0.500 0.241 0.502
Pr2 Pr 0.500 0.759 0.498
Pr3 Pr 0.000 0.560 0.165
Pr4 Pr 0.000 0.000 0.000
Pr5 Pr 0.000 0.440 0.835
Pr6 Pr 0.500 0.940 0.833
Pr7 Pr 0.500 0.060 0.167
Nd1 Nd 0.500 0.500 0.000
Nd2 Nd 0.000 0.114 0.340
Nd3 Nd 0.000 0.886 0.660

***

Quick ranking, most stable first: <b>, <a>.

***

<a>
# La2Pr3Nd3, optimized geometry, DFT PBE
# Crystal system ... orthorhombic
# Space group ... No. 63
# N(E_F) ... 22.1 states/eV per cell
data_La2Pr3Nd3
_chemical_formula_sum 'La4 Pr6 Nd6'
_cell_length_a 3.626
_cell_length_b 8.903
_cell_length_c 18.452
_cell_angle_alpha 90.00
_cell_angle_beta 90.00
_cell_angle_gamma 101.75
_space_group_name_H-M_alt 'P 1'
_space_group_IT_number 1
_space_group_name_Hall 'P 1'
loop_
_atom_site_label
_atom_site_type_symbol
_atom_site_fract_x
_atom_site_fract_y
_atom_site_fract_z
La1 La 0.760 0.520 0.654
La2 La 0.240 0.480 0.154
La3 La 0.760 0.520 0.846
La4 La 0.240 0.480 0.346
Pr1 Pr 0.654 0.307 0.002
Pr2 Pr 0.346 0.693 0.502
Pr3 Pr 0.654 0.307 0.498
Pr4 Pr 0.346 0.693 0.998
Pr5 Pr 0.405 0.809 0.250
Pr6 Pr 0.595 0.191 0.750
Nd1 Nd 0.998 0.996 0.102
Nd2 Nd 0.002 0.004 0.602
Nd3 Nd 0.998 0.996 0.398
Nd4 Nd 0.002 0.004 0.898
Nd5 Nd 0.594 0.189 0.250
Nd6 Nd 0.406 0.811 0.750

***

<b>
# La2Pr3Nd3, optimized geometry, DFT PBE
# Crystal system ... monoclinic
# Space group ... No. 12
# N(E_F) ... 13.8 states/eV per cell
data_La2Pr3Nd3
_chemical_formula_sum 'La2 Pr3 Nd3'
_cell_length_a 5.248
_cell_length_b 5.249
_cell_length_c 11.109
_cell_angle_alpha 103.75
_cell_angle_beta 103.66
_cell_angle_gamma 90.00
_space_group_name_H-M_alt 'P 1'
_space_group_IT_number 1
_space_group_name_Hall 'P 1'
loop_
_atom_site_label
_atom_site_type_symbol
_atom_site_fract_x
_atom_site_fract_y
_atom_site_fract_z
La1 La 0.750 0.250 0.500
La2 La 0.250 0.750 0.500
Pr1 Pr 0.124 0.124 0.248
Pr2 Pr 0.000 0.500 0.000
Pr3 Pr 0.876 0.876 0.752
Nd1 Nd 0.624 0.624 0.248
Nd2 Nd 0.376 0.376 0.752
Nd3 Nd 0.500 0.000 0.000

***

Quick ranking, most stable first: <b>, <a>.